A geometry-optimized PrEuIrPd structure. Source: Alexandria, functional GGA-PBE.

ΔH_f (0 K): -571.3 meV per atom

Cell lengths 7.1613, 7.1613, 7.1613 Å; angles 90.00, 90.00, 90.00 degrees
Space group F-43m (No. 216)
Unique sites:
Pr1 0.0000 0.0000 0.0000 [4 per cell]
Eu1 0.0000 0.0000 0.5000 [4 per cell]
Ir1 0.2500 0.2500 0.7500 [4 per cell]
Pd1 0.2500 0.2500 0.2500 [4 per cell]